No. 1
Density functional theory data (GGA-PBE) for a relaxed structure of Ni2PbSe.

abc: 3.380 3.380 6.171
angles: 90.00 90.00 90.00
Space group P4mm (No. 99)
Symmetry-distinct sites (fractional):
Ni1 0.000 0.000 0.000 x1
Ni2 0.500 0.500 0.250 x1
Pb1 0.000 0.000 0.472 x1
Se1 0.500 0.500 0.887 x1

Values from the calculation:
Total DFT energy (no corrections)   -18.74 eV/cell
E_form (uncorrected)   5 meV per atom
Relative energy among the computed polymorphs   0.16 eV/f.u.



No. 2
Density functional theory data (GGA-PBE) for a relaxed structure of NiPbSe3.

abc: 4.825 4.825 4.825
angles: 90.00 90.00 90.00
Space group Pm-3m (No. 221)
Symmetry-distinct sites (fractional):
Ni1 0.000 0.000 0.000 x1
Pb1 0.500 0.500 0.500 x1
Se1 0.000 0.000 0.500 x3

Values from the calculation:
Total DFT energy (no corrections)   -20.08 eV/cell
E_form (uncorrected)   -27 meV per atom
Relative energy among the computed polymorphs   0.00 eV/f.u.



No. 3
Density functional theory data (GGA-PBE) for a relaxed structure of Ni2PbSe.

abc: 3.752 3.752 9.711
angles: 90.00 90.00 90.00
Space group I-4m2 (No. 119)
Symmetry-distinct sites (fractional):
Ni1 0.000 0.000 0.000 x2
Ni2 0.000 0.500 0.250 x2
Pb1 0.000 0.500 0.750 x2
Se1 0.000 0.000 0.500 x2

Values from the calculation:
Total DFT energy (no corrections)   -35.25 eV/cell
E_form (uncorrected)   283 meV per atom
Relative energy among the computed polymorphs   1.27 eV/f.u.



No. 4
Density functional theory data (GGA-PBE) for a relaxed structure of Ni4PbSe8.

abc: 10.565 10.565 10.565
angles: 90.00 90.00 90.00
Space group F-43m (No. 216)
Symmetry-distinct sites (fractional):
Ni1 0.119 0.119 0.119 x16
Pb1 0.000 0.000 0.500 x4
Se1 0.109 0.109 0.891 x16
Se2 0.148 0.148 0.352 x16

Values from the calculation:
Total DFT energy (no corrections)   -229.07 eV/cell
E_form (uncorrected)   -197 meV per atom